No. 1
Entry from Alexandria via LeMat-Bulk: a geometry-optimized LiFe3Pd12 structure (PBE).

a b c (Å): 3.9028 3.9028 15.4823
angles (deg): 90.00 90.00 90.00
Last column: nearest neighbours and their distance in Å.
Fractional positions:
1 Pd 0.5000 0.5000 0.5000  8 Pd 2.74, 4 Fe 2.76
2 Li 0.0000 0.0000 0.0000  12 Pd 2.76-2.77
3 Pd 0.0000 0.5000 0.3755  8 Pd 2.74-2.76, 4 Fe 2.74-2.79
4 Pd 0.0000 0.5000 0.6245  8 Pd 2.74-2.76, 4 Fe 2.74-2.79
5 Fe 0.0000 0.0000 0.7533  12 Pd 2.69-2.79
6 Pd 0.5000 0.0000 0.3755  8 Pd 2.74-2.76, 4 Fe 2.74-2.79
7 Pd 0.0000 0.5000 0.1270  2 Fe 2.69, 8 Pd 2.74-2.77, 2 Li 2.77
8 Fe 0.0000 0.0000 0.2467  12 Pd 2.69-2.79
9 Pd 0.5000 0.5000 0.2511  8 Pd 2.74, 4 Fe 2.76
10 Pd 0.5000 0.0000 0.6245  8 Pd 2.74-2.76, 4 Fe 2.74-2.79
11 Pd 0.5000 0.5000 0.7489  8 Pd 2.74, 4 Fe 2.76
12 Pd 0.0000 0.5000 0.8730  2 Fe 2.69, 8 Pd 2.74-2.77, 2 Li 2.77
13 Pd 0.5000 0.0000 0.1270  2 Fe 2.69, 8 Pd 2.74-2.77, 2 Li 2.77
14 Pd 0.5000 0.5000 0.0000  4 Li 2.76, 8 Pd 2.77
15 Fe 0.0000 0.0000 0.5000  12 Pd 2.74-2.76
16 Pd 0.5000 0.0000 0.8730  2 Fe 2.69, 8 Pd 2.74-2.77, 2 Li 2.77

Computed properties:
* calculated volume: 236 Å³/cell
* VASP energy: -5.734 eV/atom
* SG: P4/mmm, No. 123
* N(E_F): 16.274 states/eV per cell

---

No. 2
Entry from Alexandria via LeMat-Bulk: a geometry-optimized SrCaMg2 structure (PBE).

a b c (Å): 11.1334 11.1334 11.1334
angles (deg): 20.33 20.33 20.33
Last column: nearest neighbours and their distance in Å.
Fractional positions:
1 Mg 0.0030 0.0030 0.0030  3 Ca 3.47, 3 Sr 3.62
2 Sr 0.2500 0.2500 0.2500  6 Mg 3.62, 6 Sr 3.93
3 Ca 0.7500 0.7500 0.7500  6 Mg 3.47
4 Mg 0.4970 0.4970 0.4970  3 Ca 3.47, 3 Sr 3.62

Computed properties:
* calculated volume: 146 Å³/cell
* VASP energy: -1.601 eV/atom
* SG: R-3m, No. 166
* N(E_F): 5.511 states/eV per cell

---

No. 3
Entry from Alexandria via LeMat-Bulk: a geometry-optimized PmSc3C structure (PBE).

a b c (Å): 4.7214 4.7214 4.7214
angles (deg): 90.00 90.00 90.00
Last column: nearest neighbours and their distance in Å.
Fractional positions:
1 Sc 0.5000 0.0000 0.0000  2 C 2.36
2 Pm 0.5000 0.5000 0.5000  12 Sc 3.34
3 Sc 0.0000 0.5000 0.0000  2 C 2.36
4 Sc 0.0000 0.0000 0.5000  2 C 2.36
5 C 0.0000 0.0000 0.0000  6 Sc 2.36

Computed properties:
* calculated volume: 105 Å³/cell
* VASP energy: -6.674 eV/atom
* SG: Pm-3m, No. 221
* N(E_F): 6.051 states/eV per cell

---

No. 4
Entry from Alexandria via LeMat-Bulk: a geometry-optimized BeCrBi2H structure (PBE).

a b c (Å): 5.4818 3.3311 5.4818
angles (deg): 90.00 90.00 90.00
Last column: nearest neighbours and their distance in Å.
Fractional positions:
1 H 0.0000 0.5000 0.0000  2 Cr 1.67
2 Cr 0.0000 0.0000 0.0000  2 H 1.67
3 Bi 0.5000 0.0000 0.0000  2 Cr 2.74
4 Bi 0.0000 0.0000 0.5000  2 Cr 2.74
5 Be 0.5000 0.5000 0.5000  8 Bi 3.21, 2 Be 3.33

Computed properties:
* calculated volume: 100 Å³/cell
* VASP energy: -4.274 eV/atom
* SG: P4/mmm, No. 123
* N(E_F): 2.562 states/eV per cell

---

No. 5
Entry from Alexandria via LeMat-Bulk: a geometry-optimized TaRe2Pt structure (PBE).

a b c (Å): 3.7892 3.7892 10.0652
angles (deg): 79.15 79.15 90.00
Last column: nearest neighbours and their distance in Å.
Fractional positions:
1 Ta 0.5000 0.5000 0.0000  4 Pt 2.68, 4 Re 2.82
2 Re 0.8750 0.9089 0.7500  2 Re 2.50, 2 Pt 2.73
3 Re 0.6589 0.1250 0.2500  2 Re 2.50, 2 Pt 2.73
4 Pt 0.7500 0.2500 0.5000  4 Ta 2.68, 4 Re 2.73
5 Pt 0.0000 0.0000 0.0000  4 Ta 2.68, 4 Re 2.73
6 Re 0.0911 0.6250 0.2500  2 Re 2.50, 2 Pt 2.73
7 Re 0.3750 0.3411 0.7500  2 Re 2.50, 2 Pt 2.73
8 Ta 0.2500 0.7500 0.5000  4 Pt 2.68, 4 Re 2.82

Computed properties:
* calculated volume: 139 Å³/cell
* VASP energy: -10.218 eV/atom
* SG: I-42d, No. 122
* N(E_F): 8.780 states/eV per cell

---

No. 6
Entry from Alexandria via LeMat-Bulk: a geometry-optimized Mg2TeAu structure (PBE).

a b c (Å): 4.8439 4.8439 3.7355
angles (deg): 90.08 90.08 90.00
Last column: nearest neighbours and their distance in Å.
Fractional positions:
1 Mg 0.0000 0.0000 0.0000  4 Te 3.06, 4 Au 3.06
2 Au 0.0000 0.5000 0.5000  8 Mg 3.06
3 Mg 0.5000 0.5000 0.0000  4 Au 3.06, 4 Te 3.06
4 Te 0.5000 0.0000 0.5000  8 Mg 3.06

Computed properties:
* calculated volume: 88 Å³/cell
* SG: C2/m, No. 12
* energy relative to the elements, uncorrected: -0.39 eV per atom
* N(E_F): 1.256 states/eV per cell

---

No. 7
Entry from Alexandria via LeMat-Bulk: a geometry-optimized Y2Tm2Bi2P structure (PBE).

a b c (Å): 5.0895 5.0895 8.8311
angles (deg): 106.75 106.75 90.00
Last column: nearest neighbours and their distance in Å.
Fractional positions:
1 Tm 0.5000 0.0000 0.0000  2 P 2.54
2 P 0.0000 0.0000 0.0000  4 Tm 2.54, 2 Y 2.68
3 Y 0.1661 0.1661 0.3322  1 P 2.68
4 Y 0.8339 0.8339 0.6678  1 P 2.68
5 Bi 0.3628 0.3628 0.7256  1 Y 3.17, 4 Tm 3.37
6 Bi 0.6372 0.6372 0.2744  1 Y 3.17, 4 Tm 3.37
7 Tm 0.0000 0.5000 0.0000  2 P 2.54

Computed properties:
* calculated volume: 209 Å³/cell
* VASP energy: -5.786 eV/atom
* SG: I4/mmm, No. 139
* N(E_F): 5.499 states/eV per cell

---

No. 8
Entry from Alexandria via LeMat-Bulk: a geometry-optimized Sc2GaPb2 structure (PBE).

a b c (Å): 8.7337 8.7337 3.3535
angles (deg): 90.00 90.00 90.00
Last column: nearest neighbours and their distance in Å.
Fractional positions:
1 Pb 0.6627 0.1627 0.0000  6 Sc 3.00-3.11, 2 Ga 3.27, 2 Pb 3.35
2 Pb 0.8373 0.6627 0.0000  6 Sc 3.00-3.11, 2 Ga 3.27, 2 Pb 3.35
3 Pb 0.3373 0.8373 0.0000  6 Sc 3.00-3.11, 2 Ga 3.27, 2 Pb 3.35
4 Sc 0.1362 0.6362 0.5000  6 Pb 3.00-3.11, 2 Sc 3.35
5 Sc 0.3638 0.1362 0.5000  6 Pb 3.00-3.11, 2 Sc 3.35
6 Pb 0.1627 0.3373 0.0000  6 Sc 3.00-3.11, 2 Ga 3.27, 2 Pb 3.35
7 Sc 0.6362 0.8638 0.5000  6 Pb 3.00-3.11, 2 Sc 3.35
8 Ga 0.0000 0.0000 0.0000  4 Pb 3.27, 2 Ga 3.35
9 Sc 0.8638 0.3638 0.5000  6 Pb 3.00-3.11, 2 Sc 3.35
10 Ga 0.5000 0.5000 0.0000  4 Pb 3.27, 2 Ga 3.35

Computed properties:
* calculated volume: 256 Å³/cell
* VASP energy: -4.754 eV/atom
* SG: P4/mbm, No. 127
* N(E_F): 6.753 states/eV per cell

---

no.,theoretical density (g/cm³)
1,10.22
2,2.01
3,4.61
4,7.96
5,17.84
6,7.07
7,7.67
8,7.45